A geometry-optimized MnAlTc2Cl structure. Source: Alexandria, functional GGA-PBE.

Lattice parameters (Å, degrees): 4.356 4.356 4.512 90.00 90.00 90.00
Space group P4/mmm (No. 123)
Symmetry-distinct sites (fractional):
Mn (0.000, 0.000, 0.000) x1
Al (0.500, 0.500, 0.000) x1
Tc (0.000, 0.500, 0.500) x2
Cl (0.500, 0.500, 0.500) x1

Summary:
The calculation puts the formation energy (no corrections) at 1.1286 eV per atom. As for the total energy: -5.97 eV per atom. The total magnetization comes out at 3.057 μB per cell.

***

A geometry-optimized Mn2AlTcCl structure. Source: Alexandria, functional GGA-PBE.

Lattice parameters (Å, degrees): 4.152 4.152 4.714 90.00 90.00 90.00
Space group P4/mmm (No. 123)
Symmetry-distinct sites (fractional):
Mn (0.000, 0.500, 0.000) x2
Al (0.000, 0.000, 0.500) x1
Tc (0.500, 0.500, 0.500) x1
Cl (0.000, 0.000, 0.000) x1

Summary:
The calculation puts the formation energy (no corrections) at 0.9296 eV per atom. As for the total energy: -5.93 eV per atom. The total magnetization comes out at 7.422 μB per cell.

***

A geometry-optimized MnAl2TlCl structure. Source: Alexandria, functional GGA-PBE.

Lattice parameters (Å, degrees): 4.988 4.988 5.624 90.00 90.00 90.00
Space group P4/mmm (No. 123)
Symmetry-distinct sites (fractional):
Mn (0.000, 0.000, 0.000) x1
Al (0.000, 0.500, 0.500) x2
Tl (0.500, 0.500, 0.000) x1
Cl (0.500, 0.500, 0.500) x1

Summary:
The calculation puts the formation energy (no corrections) at 0.7661 eV per atom. As for the total energy: -3.41 eV per atom. The total magnetization comes out at 4.223 μB per cell.

***

A geometry-optimized AlMoCl2 structure. Source: Alexandria, functional GGA-PBE.

Lattice parameters (Å, degrees): 4.155 4.155 16.992 90.00 90.00 90.00
Space group I-42d (No. 122)
Symmetry-distinct sites (fractional):
Al (0.000, 0.000, 0.000) x4
Mo (0.000, 0.000, 0.500) x4
Cl (0.236, 0.250, 0.625) x8

Summary:
The calculation puts the formation energy (no corrections) at 0.2642 eV per atom. As for the total energy: -4.30 eV per atom. The total magnetization comes out at 4.000 μB per cell. The calculation puts the energy above the lowest structure with this stoichiometry at 664 meV/atom.

***

A geometry-optimized AlMoCl structure. Source: Alexandria, functional GGA-PBE.

Lattice parameters (Å, degrees): 6.031 6.031 6.031 90.00 90.00 90.00
Space group F-43m (No. 216)
Symmetry-distinct sites (fractional):
Al (0.000, 0.000, 0.000) x4
Mo (0.000, 0.000, 0.500) x4
Cl (0.250, 0.250, 0.250) x4

Summary:
The calculation puts the formation energy (no corrections) at 1.0889 eV per atom. As for the total energy: -4.38 eV per atom. The total magnetization comes out at 6.666 μB per cell. The calculation puts the energy above the lowest structure with this stoichiometry at 1017 meV/atom.

***

A geometry-optimized AlMoCl structure. Source: Alexandria, functional GGA-PBE.

Lattice parameters (Å, degrees): 2.897 5.211 15.860 90.00 90.00 90.00
Space group Fmm2 (No. 42)
Symmetry-distinct sites (fractional):
Al (0.000, 0.000, 0.000) x4
Mo (0.000, 0.000, 0.645) x4
Cl (0.000, 0.000, 0.267) x4

Summary:
The calculation puts the formation energy (no corrections) at 0.1915 eV per atom. As for the total energy: -5.28 eV per atom. The total magnetization comes out at 1.539 μB per cell. The calculation puts the energy above the lowest structure with this stoichiometry at 120 meV/atom.

***

A geometry-optimized AlMoCl2 structure. Source: Alexandria, functional GGA-PBE.

Lattice parameters (Å, degrees): 3.078 4.440 14.425 90.00 90.00 90.00
Space group Immm (No. 71)
Symmetry-distinct sites (fractional):
Al (0.000, 0.000, 0.000) x2
Mo (0.000, 0.000, 0.500) x2
Cl (0.000, 0.500, 0.138) x4

Summary:
The calculation puts the formation energy (no corrections) at -0.2224 eV per atom. As for the total energy: -4.79 eV per atom. The total magnetization comes out at 2.365 μB per cell. The calculation puts the energy above the lowest structure with this stoichiometry at 178 meV/atom.

***

A geometry-optimized AlMoCl2 structure. Source: Alexandria, functional GGA-PBE.

Lattice parameters (Å, degrees): 3.068 5.706 9.642 90.00 90.00 90.00
Space group Cmm2 (No. 35)
Symmetry-distinct sites (fractional):
Al (0.000, 0.000, 0.000) x2
Mo (0.000, 0.500, 0.222) x2
Cl (0.000, 0.000, 0.415) x2
Cl (0.000, 0.500, 0.814) x2

Summary:
The calculation puts the formation energy (no corrections) at -0.3254 eV per atom. As for the total energy: -4.89 eV per atom. The total magnetization comes out at 1.761 μB per cell. The calculation puts the energy above the lowest structure with this stoichiometry at 75 meV/atom.

***

A geometry-optimized AlMo4Cl structure. Source: Alexandria, functional GGA-PBE.

Lattice parameters (Å, degrees): 7.483 7.483 7.483 90.00 90.00 90.00
Space group F-43m (No. 216)
Symmetry-distinct sites (fractional):
Al (0.000, 0.000, 0.000) x4
Mo (0.122, 0.122, 0.378) x16
Cl (0.250, 0.250, 0.750) x4

Summary:
The calculation puts the formation energy (no corrections) at 0.7503 eV per atom. As for the total energy: -7.40 eV per atom. The total magnetization comes out at 0.000 μB per cell.

***

A geometry-optimized AlMoCl2 structure. Source: Alexandria, functional GGA-PBE.

Lattice parameters (Å, degrees): 2.982 2.982 8.799 90.00 90.00 90.00
Space group P4mm (No. 99)
Symmetry-distinct sites (fractional):
Al (0.000, 0.000, 0.000) x1
Mo (0.500, 0.500, 0.792) x1
Cl (0.000, 0.000, 0.612) x1
Cl (0.500, 0.500, 0.193) x1

Summary:
The calculation puts the formation energy (no corrections) at -0.2276 eV per atom. As for the total energy: -4.79 eV per atom. The total magnetization comes out at 0.001 μB per cell. The calculation puts the energy above the lowest structure with this stoichiometry at 173 meV/atom.

***

A geometry-optimized AlMoCl2 structure. Source: Alexandria, functional GGA-PBE.

Lattice parameters (Å, degrees): 2.982 4.376 5.485 90.00 90.00 90.00
Space group Pmmm (No. 47)
Symmetry-distinct sites (fractional):
Al (0.000, 0.000, 0.000) x1
Mo (0.500, 0.000, 0.500) x1
Cl (0.000, 0.500, 0.500) x1
Cl (0.500, 0.500, 0.000) x1

Summary:
The calculation puts the formation energy (no corrections) at 0.2097 eV per atom. As for the total energy: -4.36 eV per atom. The total magnetization comes out at 1.823 μB per cell. The calculation puts the energy above the lowest structure with this stoichiometry at 610 meV/atom.

***

A geometry-optimized AlMoCl2 structure. Source: Alexandria, functional GGA-PBE.

Lattice parameters (Å, degrees): 6.930 6.930 6.930 90.00 90.00 90.00
Space group F-43m (No. 216)
Symmetry-distinct sites (fractional):
Al (0.000, 0.000, 0.000) x4
Mo (0.250, 0.250, 0.250) x4
Cl (0.000, 0.000, 0.500) x4
Cl (0.250, 0.250, 0.750) x4

Summary:
The calculation puts the formation energy (no corrections) at 0.6040 eV per atom. As for the total energy: -3.96 eV per atom. The total magnetization comes out at 18.959 μB per cell. The calculation puts the energy above the lowest structure with this stoichiometry at 1004 meV/atom.

***

Q: What is the total magnetization in the sixth record?
A: 1.539 μB per cell

***

Q: Among the records above, which one has the lowest total magnetization?
A: AlMo4Cl